A relaxed Y12Sc5Nb3 crystal. Source: the Alexandria database, functional PBE.

```
Y12Sc5Nb3
1.0
-8.793 8.793 8.793
8.793 -8.793 8.793
8.793 8.793 -8.793
Y Sc Nb
48 20 12
Cartesian
8.500 -1.565 2.588
13.484 -1.809 2.832
2.588 -0.294 1.565
10.602 5.961 -4.690
11.381 0.294 1.565
10.602 -2.832 4.690
1.565 2.588 -0.294
11.625 4.103 -1.809
5.961 4.690 -1.809
7.229 2.588 0.294
-0.294 1.565 2.588
4.690 -1.809 5.961
8.500 7.229 -2.588
4.690 1.809 2.832
7.229 -2.588 8.500
5.961 -4.690 10.602
2.832 4.690 1.809
10.358 6.206 0.294
2.588 8.500 -1.565
10.602 2.832 4.103
1.809 2.832 4.690
2.588 0.294 7.229
4.690 10.602 -2.832
8.500 1.565 6.206
0.294 7.229 2.588
4.103 -1.809 11.625
6.206 8.500 1.565
6.984 5.961 4.103
-1.809 5.961 4.690
6.206 0.294 10.358
-1.565 2.588 8.500
5.961 4.103 6.984
2.832 13.484 -1.809
1.565 11.381 0.294
4.103 6.984 5.961
0.294 1.565 11.381
4.103 10.602 2.832
9.087 7.229 6.206
1.565 6.206 8.500
2.832 4.103 10.602
-2.832 4.690 10.602
7.229 6.206 9.087
-1.809 11.625 4.103
-2.588 8.500 7.229
-1.809 2.832 13.484
6.206 9.087 7.229
-4.690 10.602 5.961
0.294 10.358 6.206
0.000 0.000 0.000
4.397 4.397 -4.397
4.397 -4.397 4.397
8.793 0.000 0.000
13.190 2.198 0.000
8.793 -4.397 6.595
6.595 8.793 -4.397
6.595 0.000 4.397
4.397 6.595 0.000
8.793 4.397 2.198
-4.397 4.397 4.397
0.000 8.793 0.000
0.000 0.000 8.793
4.397 4.397 4.397
0.000 4.397 6.595
4.397 2.198 8.793
2.198 8.793 4.397
2.198 0.000 13.190
0.000 13.190 2.198
-4.397 6.595 8.793
4.397 2.198 0.000
8.793 4.397 -2.198
2.198 0.000 4.397
10.992 0.000 4.397
0.000 4.397 2.198
4.397 -2.198 8.793
4.397 10.992 0.000
8.793 4.397 6.595
-2.198 8.793 4.397
6.595 8.793 4.397
0.000 4.397 10.992
4.397 6.595 8.793
```

Calculated values
Space-group type   Ia-3d
Fermi-level density of states   1.689 states/eV per atom
E   -468.1 eV/cell
Total magnetic moment   2.3 μB/f.u.